Entry 1:
{
  "formula": "SiHSe2",
  "functional": "PBE",
  "state": "relaxed",
  "lattice": [[-2.172, 2.823, -1.837], [-1.321, 0.503, 2.334], [6.366, 3.613, 1.435]],
  "species": ["Se", "Se", "Si", "H"],
  "fractional_positions": [[0.578, 0.593, 0.429], [0.958, 0.824, 0.957], [0.133, 0.685, 0.639], [0.573, 0.784, 0.863]],
  "e_above_lowest_polymorph_ev_per_atom": 0.172,
  "sg": "P1 (1)",
  "e_tot_ev_per_fu": -15.340,
  "rho_kg_m3": 3947
}

***

Entry 2:
{
  "formula": "Si2HSe",
  "functional": "PBE",
  "state": "relaxed",
  "lattice": [[-2.756, -0.138, -3.543], [-2.476, -3.137, 2.048], [-6.362, 3.101, 1.981]],
  "species": ["Se", "Se", "H", "H", "Si", "Si", "Si", "Si"],
  "fractional_positions": [[0.750, 0.250, 0.500], [0.000, 0.000, 0.000], [0.250, 0.750, 0.500], [0.500, 0.500, 0.000], [0.487, 0.125, 0.250], [0.875, 0.737, 0.750], [0.263, 0.625, 0.250], [0.375, 0.513, 0.750]],
  "e_above_lowest_polymorph_ev_per_atom": 0.000,
  "sg": "I-42d (122)",
  "e_tot_ev_per_fu": -15.616,
  "rho_kg_m3": 3383
}

***

Entry 3:
{
  "formula": "SiHSe",
  "functional": "PBE",
  "state": "relaxed",
  "lattice": [[3.909, 0.000, -0.124], [0.000, 2.520, 0.000], [-3.360, 0.000, 11.226]],
  "species": ["H", "H", "Se", "Se", "Si", "Si"],
  "fractional_positions": [[0.751, 0.500, 0.189], [0.751, 0.000, 0.689], [0.168, 0.500, 0.456], [0.168, 0.000, 0.956], [0.603, 0.000, 0.795], [0.603, 0.500, 0.295]],
  "sg": "Cm (8)",
  "e_tot_ev_per_fu": -11.675,
  "rho_kg_m3": 3276
}

***

Entry 4:
{
  "formula": "SiHSe3",
  "functional": "PBE",
  "state": "relaxed",
  "lattice": [[-2.460, 7.108, 0.330], [-5.474, -1.723, -3.714], [-3.286, -1.629, 10.608]],
  "species": ["Si", "Si", "Si", "Si", "Se", "Se", "Se", "Se", "Se", "Se", "Se", "Se", "Se", "Se", "Se", "Se", "H", "H", "H", "H"],
  "fractional_positions": [[0.834, 0.935, 0.047], [0.166, 0.065, 0.953], [0.666, 0.435, 0.547], [0.334, 0.565, 0.453], [0.578, 0.858, 0.933], [0.723, 0.393, 0.742], [0.277, 0.607, 0.258], [0.436, 0.243, 0.449], [0.777, 0.893, 0.242], [0.936, 0.257, 0.051], [0.922, 0.358, 0.433], [0.564, 0.757, 0.551], [0.223, 0.107, 0.758], [0.078, 0.642, 0.567], [0.064, 0.743, 0.949], [0.422, 0.142, 0.067], [0.031, 0.147, 0.739], [0.469, 0.647, 0.239], [0.969, 0.853, 0.261], [0.531, 0.353, 0.761]],
  "e_above_lowest_polymorph_ev_per_atom": 0.000,
  "sg": "P2_1/c (14)",
  "e_tot_ev_per_fu": -20.436,
  "rho_kg_m3": 3152
}